Entry 1:
# Sm3Be2Ir3

Crystalline Sm3Be2Ir3 at its relaxed geometry (PBE, Alexandria via LeMat-Bulk). Values from VASP.

Space-group type: Cmcm (63)
DOS(E_F) (states/eV/atom): 0.5687
Formation energy from the elements (eV per atom): -0.560
Electronic total energy (eV/atom): -6.58

The structure in Quantum ESPRESSO input format:
```
&SYSTEM
  ibrav = 0, nat = 16, ntyp = 3
/
ATOMIC_SPECIES
Be 9.01 Be.upf
Ir 192.22 Ir.upf
Sm 150.36 Sm.upf
CELL_PARAMETERS angstrom
4.021 0.000 0.000
-2.011 5.408 0.000
0.000 0.000 14.618
ATOMIC_POSITIONS crystal
Be 0.839 0.679 0.612
Be 0.161 0.321 0.112
Ir 0.720 0.439 0.750
Sm 0.583 0.167 0.250
Ir 0.594 0.187 0.445
Sm 0.417 0.833 0.750
Sm 0.136 0.273 0.599
Ir 0.406 0.813 0.945
Be 0.839 0.679 0.888
Ir 0.594 0.187 0.055
Be 0.161 0.321 0.388
Sm 0.136 0.273 0.901
Ir 0.280 0.561 0.250
Ir 0.406 0.813 0.555
Sm 0.864 0.727 0.099
Sm 0.864 0.727 0.401
```



Entry 2:
# SmTaBeIr2

Crystalline SmTaBeIr2 at its relaxed geometry (PBE, Alexandria via LeMat-Bulk). Values from VASP.

Space-group type: I-4m2 (119)
DOS(E_F) (states/eV/atom): 0.6238
Formation energy from the elements (eV per atom): -0.557
Electronic total energy (eV/atom): -8.16

The structure in Quantum ESPRESSO input format:
```
&SYSTEM
  ibrav = 0, nat = 5, ntyp = 4
/
ATOMIC_SPECIES
Ir 192.22 Ir.upf
Ta 180.95 Ta.upf
Be 9.01 Be.upf
Sm 150.36 Sm.upf
CELL_PARAMETERS angstrom
3.961 0.000 0.000
0.000 3.961 0.000
-1.981 -1.981 5.870
ATOMIC_POSITIONS crystal
Ir 0.384 0.384 0.768
Ta 0.250 0.750 0.500
Be 0.750 0.250 0.500
Ir 0.616 0.616 0.232
Sm 0.000 0.000 0.000
```



Entry 3:
# BeSn3Ir

Crystalline BeSn3Ir at its relaxed geometry (PBE, Alexandria via LeMat-Bulk). Values from VASP.

Excess energy over the best structure of this formula in the dataset (eV per formula unit): 0.00
Space-group type: Pm-3m (221)
DOS(E_F) (states/eV/atom): 0.8399
Formation energy from the elements (eV per atom): 0.633
Electronic total energy (eV/atom): -4.29

The structure in Quantum ESPRESSO input format:
```
&SYSTEM
  ibrav = 0, nat = 5, ntyp = 3
/
ATOMIC_SPECIES
Sn 118.71 Sn.upf
Ir 192.22 Ir.upf
Be 9.01 Be.upf
CELL_PARAMETERS angstrom
5.143 0.000 0.000
0.000 5.143 0.000
0.000 0.000 5.143
ATOMIC_POSITIONS crystal
Sn 0.000 0.000 0.500
Sn 0.500 0.000 0.000
Sn 0.000 0.500 0.000
Ir 0.000 0.000 0.000
Be 0.500 0.500 0.500
```